# Ce2In2Ni15, relaxed, DFT PBE
# Calculated density: 8.89 Mg/m³
# V: 13.67 Å³ per atom
# VASP energy: -5.564 eV/atom
# ΔE_f: -0.09 eV per atom
data_Ce2In2Ni15
_chemical_formula_sum 'Ce6 In6 Ni45'
_space_group_name_H-M_alt 'R -3 m'
_space_group_IT_number 166
_space_group_name_Hall '-R 3 2"'
_cell_length_a 8.4335
_cell_length_b 8.4335
_cell_length_c 12.6548
_cell_angle_alpha 90.00
_cell_angle_beta 90.00
_cell_angle_gamma 120.00
loop_
_atom_site_label
_atom_site_type_symbol
_atom_site_fract_x
_atom_site_fract_y
_atom_site_fract_z
_atom_site_occupancy
Ce1 Ce 0.0000 0.0000 0.1156 1
In1 In 0.0000 0.0000 0.3732 1
Ni1 Ni 0.0000 0.3322 0.0000 1
Ni2 Ni 0.0000 0.5000 0.5000 1
Ni3 Ni 0.0113 0.5057 0.1645 1



# La2PmNdSm, relaxed, DFT PBE
# Calculated density: 6.62 Mg/m³
# V: 35.99 Å³ per atom
# VASP energy: -4.785 eV/atom
# ΔE_f: 0.03 eV per atom
data_La2PmNdSm
_chemical_formula_sum 'La4 Pm2 Nd2 Sm2'
_space_group_name_H-M_alt 'P 1 21/m 1'
_space_group_IT_number 11
_space_group_name_Hall '-P 2yb'
_cell_length_a 6.465
_cell_length_b 5.966
_cell_length_c 9.872
_cell_angle_alpha 90.00
_cell_angle_beta 109.04
_cell_angle_gamma 90.00
loop_
_atom_site_label
_atom_site_type_symbol
_atom_site_fract_x
_atom_site_fract_y
_atom_site_fract_z
_atom_site_occupancy
La1 La 0.069 0.250 0.302 1
La2 La 0.136 0.750 0.098 1
Pm1 Pm 0.266 0.250 0.698 1
Nd1 Nd 0.468 0.250 0.102 1
Sm1 Sm 0.335 0.750 0.500 1



# AlHgP4, relaxed, DFT PBE
# Calculated density: 3.98 Mg/m³
# V: 24.42 Å³ per atom
# VASP energy: -3.820 eV/atom
# ΔE_f: 0.46 eV per atom
data_AlHgP4
_chemical_formula_sum 'Al4 Hg4 P16'
_space_group_name_H-M_alt 'F -4 3 m'
_space_group_IT_number 216
_space_group_name_Hall 'F -4 2 3'
_cell_length_a 8.369
_cell_length_b 8.369
_cell_length_c 8.369
_cell_angle_alpha 90.00
_cell_angle_beta 90.00
_cell_angle_gamma 90.00
loop_
_atom_site_label
_atom_site_type_symbol
_atom_site_fract_x
_atom_site_fract_y
_atom_site_fract_z
_atom_site_occupancy
Al1 Al 0.000 0.000 0.000 1
Hg1 Hg 0.250 0.250 0.750 1
P1 P 0.155 0.155 0.345 1



# MnAlCl, relaxed, DFT PBE
# Calculated density: 3.57 Mg/m³
# V: 18.21 Å³ per atom
# VASP energy: -4.965 eV/atom
# E above lowest polymorph: 27.2 kJ/mol of formula units
# Formation energy (no corrections): -0.05 eV per atom
data_MnAlCl
_chemical_formula_sum 'Mn2 Al2 Cl2'
_space_group_name_H-M_alt 'I 4 m m'
_space_group_IT_number 107
_space_group_name_Hall 'I 4 -2'
_cell_length_a 3.032
_cell_length_b 3.032
_cell_length_c 11.890
_cell_angle_alpha 90.00
_cell_angle_beta 90.00
_cell_angle_gamma 90.00
loop_
_atom_site_label
_atom_site_type_symbol
_atom_site_fract_x
_atom_site_fract_y
_atom_site_fract_z
_atom_site_occupancy
Mn1 Mn 0.000 0.000 0.000 1
Al1 Al 0.000 0.000 0.632 1
Cl1 Cl 0.000 0.000 0.367 1



# AcNd4Ho15, relaxed, DFT PBE
# Calculated density: 8.40 Mg/m³
# V: 32.39 Å³ per atom
# VASP energy: -4.562 eV/atom
# ΔE_f: 0.03 eV per atom
data_AcNd4Ho15
_chemical_formula_sum 'Ac1 Nd4 Ho15'
_space_group_name_H-M_alt 'P 4/m m m'
_space_group_IT_number 123
_space_group_name_Hall '-P 4 2'
_cell_length_a 5.070
_cell_length_b 5.070
_cell_length_c 25.198
_cell_angle_alpha 90.00
_cell_angle_beta 90.00
_cell_angle_gamma 90.00
loop_
_atom_site_label
_atom_site_type_symbol
_atom_site_fract_x
_atom_site_fract_y
_atom_site_fract_z
_atom_site_occupancy
Ac1 Ac 0.000 0.000 0.000 1
Nd1 Nd 0.000 0.000 0.202 1
Nd2 Nd 0.000 0.000 0.401 1
Ho1 Ho 0.000 0.500 0.104 1
Ho2 Ho 0.000 0.500 0.302 1
Ho3 Ho 0.000 0.500 0.500 1
Ho4 Ho 0.500 0.500 0.000 1
Ho5 Ho 0.500 0.500 0.203 1
Ho6 Ho 0.500 0.500 0.401 1